a | BaSrCa2H after structural relaxation, computed with PBE-GGA.

Properties
- Spin magnetization: 0.00 Bohr magnetons per cell
- Calculated density: 2.71 g/cm³

Cell lengths 5.628, 5.628, 5.916 Å; angles 90.00, 90.00, 90.00 degrees
Fractional positions:
Ba1 0.000 0.000 0.000
Sr1 0.500 0.500 0.000
Ca1 0.000 0.500 0.500
Ca2 0.500 0.000 0.500
H1 0.000 0.000 0.500

---

b | BaSrCa2H after structural relaxation, computed with PBE-GGA.

Properties
- Spin magnetization: 0.00 Bohr magnetons per cell
- Calculated density: 2.71 g/cm³

Cell lengths 5.707, 5.707, 5.768 Å; angles 90.00, 90.00, 90.00 degrees
Fractional positions:
Ba1 0.000 0.000 0.000
Sr1 0.500 0.500 0.000
Ca1 0.000 0.500 0.500
Ca2 0.500 0.000 0.500
H1 0.500 0.500 0.500

---

Ranked by calculated energy, most stable first: a, b.

---

a | BaCa3Hf after structural relaxation, computed with PBE-GGA.

Properties
- Spin magnetization: 0.51 Bohr magnetons per cell
- Calculated density: 3.24 g/cm³

Cell lengths 6.067, 6.067, 6.067 Å; angles 90.00, 90.00, 90.00 degrees
Fractional positions:
Ba1 0.000 0.000 0.000
Ca1 0.000 0.500 0.500
Ca2 0.500 0.000 0.500
Ca3 0.500 0.500 0.000
Hf1 0.500 0.500 0.500

---

b | BaCa3Hf after structural relaxation, computed with PBE-GGA.

Properties
- Spin magnetization: 0.00 Bohr magnetons per cell
- Calculated density: 3.89 g/cm³

Cell lengths 5.711, 5.711, 5.711 Å; angles 90.00, 90.00, 90.00 degrees
Fractional positions:
Ba1 0.000 0.000 0.000
Ca1 0.000 0.000 0.500
Ca2 0.000 0.500 0.000
Ca3 0.500 0.000 0.000
Hf1 0.500 0.500 0.500

---

Ranked by calculated energy, most stable first: a, b.